1.
# Cr2CdHg (GGA-PBE, relaxed)
data_Cr2CdHg
_chemical_formula_sum 'Cr2 Cd1 Hg1'
_space_group_name_H-M_alt 'P 1'
_space_group_IT_number 1
_space_group_name_Hall 'P 1'
_cell_length_a 3.8749
_cell_length_b 3.8749
_cell_length_c 4.3010
_cell_angle_alpha 90.00
_cell_angle_beta 90.00
_cell_angle_gamma 90.00
loop_
_atom_site_label
_atom_site_type_symbol
_atom_site_fract_x
_atom_site_fract_y
_atom_site_fract_z
Cr1 Cr 0.0000 0.5000 0.0000
Cr2 Cr 0.5000 0.0000 0.0000
Cd1 Cd 0.0000 0.0000 0.5000
Hg1 Hg 0.5000 0.5000 0.5000
# DFT formation energy = 0.79 eV per atom
# M_tot = 1.0 μB/f.u.
# Space-group type = P4/mmm (123)

2.
# SrPb5 (GGA-PBE, relaxed)
data_SrPb5
_chemical_formula_sum 'Sr1 Pb5'
_space_group_name_H-M_alt 'P 1'
_space_group_IT_number 1
_space_group_name_Hall 'P 1'
_cell_length_a 5.6879
_cell_length_b 5.6879
_cell_length_c 6.9871
_cell_angle_alpha 90.45
_cell_angle_beta 90.45
_cell_angle_gamma 59.92
loop_
_atom_site_label
_atom_site_type_symbol
_atom_site_fract_x
_atom_site_fract_y
_atom_site_fract_z
Sr1 Sr 0.0000 0.0000 0.0000
Pb1 Pb 0.0000 0.0000 0.5000
Pb2 Pb 0.3333 0.3333 0.2637
Pb3 Pb 0.3335 0.3335 0.7365
Pb4 Pb 0.6665 0.6665 0.2635
Pb5 Pb 0.6667 0.6667 0.7363
# DFT formation energy = -0.20 eV per atom
# M_tot = 0.0 μB/f.u.
# Space-group type = C2/m (12)

3.
# Ag2Sn2Bi (GGA-PBE, relaxed)
data_Ag2Sn2Bi
_chemical_formula_sum 'Ag2 Sn2 Bi1'
_space_group_name_H-M_alt 'P 1'
_space_group_IT_number 1
_space_group_name_Hall 'P 1'
_cell_length_a 8.0378
_cell_length_b 8.0378
_cell_length_c 8.0378
_cell_angle_alpha 150.23
_cell_angle_beta 150.23
_cell_angle_gamma 42.60
loop_
_atom_site_label
_atom_site_type_symbol
_atom_site_fract_x
_atom_site_fract_y
_atom_site_fract_z
Ag1 Ag 0.2500 0.7500 0.5000
Ag2 Ag 0.7500 0.2500 0.5000
Sn1 Sn 0.1071 0.1071 0.0000
Sn2 Sn 0.8929 0.8929 0.0000
Bi1 Bi 0.5000 0.5000 0.0000
# DFT formation energy = 0.14 eV per atom
# M_tot = 0.0 μB/f.u.
# Space-group type = I4/mmm (139)

4.
# Mn2TlOs (GGA-PBE, relaxed)
data_Mn2TlOs
_chemical_formula_sum 'Mn2 Tl1 Os1'
_space_group_name_H-M_alt 'P 1'
_space_group_IT_number 1
_space_group_name_Hall 'P 1'
_cell_length_a 2.9026
_cell_length_b 2.9026
_cell_length_c 7.6887
_cell_angle_alpha 90.00
_cell_angle_beta 90.00
_cell_angle_gamma 90.00
loop_
_atom_site_label
_atom_site_type_symbol
_atom_site_fract_x
_atom_site_fract_y
_atom_site_fract_z
Mn1 Mn 0.0000 0.0000 0.2103
Mn2 Mn 0.0000 0.0000 0.7897
Tl1 Tl 0.5000 0.5000 0.5000
Os1 Os 0.5000 0.5000 0.0000
# DFT formation energy = 0.41 eV per atom
# M_tot = 5.7 μB/f.u.
# Space-group type = P4/mmm (123)

5.
# MnBe2Hg (GGA-PBE, relaxed)
data_MnBe2Hg
_chemical_formula_sum 'Mn1 Be2 Hg1'
_space_group_name_H-M_alt 'P 1'
_space_group_IT_number 1
_space_group_name_Hall 'P 1'
_cell_length_a 4.6939
_cell_length_b 4.6939
_cell_length_c 4.6939
_cell_angle_alpha 134.51
_cell_angle_beta 134.51
_cell_angle_gamma 66.29
loop_
_atom_site_label
_atom_site_type_symbol
_atom_site_fract_x
_atom_site_fract_y
_atom_site_fract_z
Mn1 Mn 0.0000 0.0000 0.0000
Be1 Be 0.2500 0.7500 0.5000
Be2 Be 0.5000 0.5000 0.0000
Hg1 Hg 0.7500 0.2500 0.5000
# DFT formation energy = 0.37 eV per atom
# M_tot = 3.0 μB/f.u.
# Space-group type = I-4m2 (119)

6.
# Ba3NaSr3 (GGA-PBE, relaxed)
data_Ba3NaSr3
_chemical_formula_sum 'Ba6 Na2 Sr6'
_space_group_name_H-M_alt 'P 1'
_space_group_IT_number 1
_space_group_name_Hall 'P 1'
_cell_length_a 10.6366
_cell_length_b 6.8622
_cell_length_c 11.7784
_cell_angle_alpha 90.00
_cell_angle_beta 112.28
_cell_angle_gamma 90.00
loop_
_atom_site_label
_atom_site_type_symbol
_atom_site_fract_x
_atom_site_fract_y
_atom_site_fract_z
Ba1 Ba 0.0821 0.2500 0.1197
Ba2 Ba 0.0850 0.7500 0.6015
Ba3 Ba 0.3656 0.2500 0.5319
Ba4 Ba 0.6344 0.7500 0.4681
Ba5 Ba 0.9150 0.2500 0.3985
Ba6 Ba 0.9179 0.7500 0.8803
Na1 Na 0.2080 0.7500 0.3179
Na2 Na 0.7920 0.2500 0.6821
Sr1 Sr 0.2172 0.2500 0.8245
Sr2 Sr 0.3471 0.7500 0.0435
Sr3 Sr 0.4963 0.7500 0.7707
Sr4 Sr 0.5037 0.2500 0.2293
Sr5 Sr 0.6529 0.2500 0.9565
Sr6 Sr 0.7828 0.7500 0.1755
# DFT formation energy = 0.03 eV per atom
# M_tot = 0.0 μB/f.u.
# Space-group type = P2_1/m (11)

7.
# AcTb2Pr4 (GGA-PBE, relaxed)
data_AcTb2Pr4
_chemical_formula_sum 'Ac1 Tb2 Pr4'
_space_group_name_H-M_alt 'P 1'
_space_group_IT_number 1
_space_group_name_Hall 'P 1'
_cell_length_a 6.9778
_cell_length_b 6.9778
_cell_length_c 6.4500
_cell_angle_alpha 97.58
_cell_angle_beta 97.58
_cell_angle_gamma 56.53
loop_
_atom_site_label
_atom_site_type_symbol
_atom_site_fract_x
_atom_site_fract_y
_atom_site_fract_z
Ac1 Ac 0.0000 0.0000 0.0000
Tb1 Tb 0.4601 0.4601 0.7351
Tb2 Tb 0.5399 0.5399 0.2649
Pr1 Pr 0.0000 0.5000 0.0000
Pr2 Pr 0.1614 0.1614 0.5073
Pr3 Pr 0.5000 0.0000 0.0000
Pr4 Pr 0.8386 0.8386 0.4927
# DFT formation energy = 0.22 eV per atom
# M_tot = 0.0 μB/f.u.
# Space-group type = C2/m (12)

8.
# ScTaPt (GGA-PBE, relaxed)
data_ScTaPt
_chemical_formula_sum 'Sc1 Ta1 Pt1'
_space_group_name_H-M_alt 'P 1'
_space_group_IT_number 1
_space_group_name_Hall 'P 1'
_cell_length_a 4.5422
_cell_length_b 4.5422
_cell_length_c 3.1228
_cell_angle_alpha 90.00
_cell_angle_beta 90.00
_cell_angle_gamma 120.00
loop_
_atom_site_label
_atom_site_type_symbol
_atom_site_fract_x
_atom_site_fract_y
_atom_site_fract_z
Sc1 Sc 0.0000 0.0000 0.0000
Ta1 Ta 0.6667 0.3333 0.4344
Pt1 Pt 0.3333 0.6667 0.6157
# DFT formation energy = -0.31 eV per atom
# M_tot = 0.0 μB/f.u.
# Space-group type = P3m1 (156)

9.
# Dy2S2Cl (GGA-PBE, relaxed)
data_Dy2S2Cl
_chemical_formula_sum 'Dy2 S2 Cl1'
_space_group_name_H-M_alt 'P 1'
_space_group_IT_number 1
_space_group_name_Hall 'P 1'
_cell_length_a 6.7971
_cell_length_b 6.7971
_cell_length_c 6.7971
_cell_angle_alpha 146.04
_cell_angle_beta 133.19
_cell_angle_gamma 59.08
loop_
_atom_site_label
_atom_site_type_symbol
_atom_site_fract_x
_atom_site_fract_y
_atom_site_fract_z
Dy1 Dy 0.1768 0.1768 0.0000
Dy2 Dy 0.8232 0.8232 0.0000
S1 S 0.3299 0.8299 0.5000
S2 S 0.6701 0.1701 0.5000
Cl1 Cl 0.0000 0.5000 0.5000
# Formation energy without anion corrections = -45.7 kcal/mol of atoms
# M_tot = 0.0 μB/f.u.
# Space-group type = Immm (71)

10.
# Tb3Tm6Sc2 (GGA-PBE, relaxed)
data_Tb3Tm6Sc2
_chemical_formula_sum 'Tb3 Tm6 Sc2'
_space_group_name_H-M_alt 'P 1'
_space_group_IT_number 1
_space_group_name_Hall 'P 1'
_cell_length_a 31.0042
_cell_length_b 31.0042
_cell_length_c 31.0042
_cell_angle_alpha 6.43
_cell_angle_beta 6.43
_cell_angle_gamma 6.43
loop_
_atom_site_label
_atom_site_type_symbol
_atom_site_fract_x
_atom_site_fract_y
_atom_site_fract_z
Tb1 Tb 0.0000 0.0000 0.0000
Tb2 Tb 0.2714 0.2714 0.2714
Tb3 Tb 0.7286 0.7286 0.7286
Tm1 Tm 0.0933 0.0933 0.0933
Tm2 Tm 0.1821 0.1821 0.1821
Tm3 Tm 0.3644 0.3644 0.3644
Tm4 Tm 0.6356 0.6356 0.6356
Tm5 Tm 0.8179 0.8179 0.8179
Tm6 Tm 0.9067 0.9067 0.9067
Sc1 Sc 0.4556 0.4556 0.4556
Sc2 Sc 0.5444 0.5444 0.5444
# DFT formation energy = 0.04 eV per atom
# M_tot = 0.0 μB/f.u.
# Space-group type = R-3m (166)

11.
# OsRu4Pt (GGA-PBE, relaxed)
data_OsRu4Pt
_chemical_formula_sum 'Os1 Ru4 Pt1'
_space_group_name_H-M_alt 'P 1'
_space_group_IT_number 1
_space_group_name_Hall 'P 1'
_cell_length_a 5.0265
_cell_length_b 5.0265
_cell_length_c 5.0265
_cell_angle_alpha 60.00
_cell_angle_beta 60.00
_cell_angle_gamma 60.00
loop_
_atom_site_label
_atom_site_type_symbol
_atom_site_fract_x
_atom_site_fract_y
_atom_site_fract_z
Os1 Os 0.0000 0.0000 0.0000
Ru1 Ru 0.3752 0.3752 0.3752
Ru2 Ru 0.3752 0.3752 0.8744
Ru3 Ru 0.3752 0.8744 0.3752
Ru4 Ru 0.8744 0.3752 0.3752
Pt1 Pt 0.7500 0.7500 0.7500
# DFT formation energy = 0.63 eV per atom
# M_tot = 0.0 μB/f.u.
# Space-group type = F-43m (216)

12.
# Nd6Te3As2I (GGA-PBE, relaxed)
data_Nd6Te3As2I
_chemical_formula_sum 'Nd6 Te3 As2 I1'
_space_group_name_H-M_alt 'P 1'
_space_group_IT_number 1
_space_group_name_Hall 'P 1'
_cell_length_a 9.9081
_cell_length_b 9.9081
_cell_length_c 8.9529
_cell_angle_alpha 102.51
_cell_angle_beta 102.51
_cell_angle_gamma 25.66
loop_
_atom_site_label
_atom_site_type_symbol
_atom_site_fract_x
_atom_site_fract_y
_atom_site_fract_z
Nd1 Nd 0.0160 0.0160 0.2740
Nd2 Nd 0.3228 0.3228 0.8784
Nd3 Nd 0.3267 0.3267 0.4308
Nd4 Nd 0.6733 0.6733 0.5692
Nd5 Nd 0.6772 0.6772 0.1216
Nd6 Nd 0.9840 0.9840 0.7260
Te1 Te 0.1578 0.1578 0.8381
Te2 Te 0.5000 0.5000 0.5000
Te3 Te 0.8422 0.8422 0.1619
As1 As 0.1703 0.1703 0.3390
As2 As 0.8297 0.8297 0.6610
I1 I 0.5000 0.5000 0.0000
# Formation energy without anion corrections = -32.3 kcal/mol of atoms
# M_tot = 0.0 μB/f.u.
# Space-group type = C2/m (12)